(1)
Computed, not measured: a relaxed Cd2InPd5Au crystal at the PBE level of DFT.

a = 6.800 Å, b = 6.800 Å, c = 8.798 Å
α = 112.74°, β = 112.74°, γ = 90.00°
Element x y z (fractional)
Cd 0.366 0.866 0.000
Cd 0.134 0.366 0.000
Cd 0.634 0.134 0.000
Cd 0.866 0.634 0.000
Pd 0.619 0.119 0.697
Pd 0.119 0.078 0.697
Pd 0.881 0.922 0.303
Pd 0.500 0.500 0.000
Pd 0.381 0.881 0.303
Pd 0.000 0.000 0.000
Pd 0.578 0.619 0.697
Pd 0.922 0.422 0.303
Pd 0.422 0.381 0.303
Pd 0.078 0.578 0.697
In 0.750 0.750 0.500
In 0.250 0.250 0.500
Au 0.750 0.250 0.500
Au 0.250 0.750 0.500

N(E_F)   0.3911 states/eV/atom
V   341 Å³ per cell
Energy   -3.81 eV per atom
E_form   -0.057 eV per atom
Symmetry   I4/mcm


(2)
Computed, not measured: a relaxed LaPrSm6Y2 crystal at the PBE level of DFT.

a = 6.368 Å, b = 9.341 Å, c = 11.631 Å
α = 90.00°, β = 89.80°, γ = 90.00°
Element x y z (fractional)
Sm 0.852 0.456 0.250
Sm 0.504 0.350 0.580
Sm 0.004 0.150 0.080
Sm 0.996 0.850 0.920
Sm 0.504 0.349 0.920
Sm 0.496 0.651 0.080
Sm 0.352 0.044 0.750
Sm 0.996 0.849 0.580
Sm 0.004 0.151 0.420
Sm 0.648 0.956 0.250
Sm 0.496 0.650 0.420
Sm 0.148 0.544 0.750
La 0.500 0.000 0.500
La 0.000 0.500 0.000
Pr 0.000 0.500 0.500
Pr 0.500 0.000 0.000
Y 0.878 0.181 0.748
Y 0.622 0.681 0.752
Y 0.378 0.319 0.248
Y 0.122 0.819 0.252

N(E_F)   1.2091 states/eV/atom
V   692 Å³ per cell
Energy   -4.87 eV per atom
E_form   0.222 eV per atom
Symmetry   P2_1/c


(3)
Computed, not measured: a relaxed Re2SbIr crystal at the PBE level of DFT.

a = 5.831 Å, b = 5.831 Å, c = 7.071 Å
α = 65.65°, β = 65.65°, γ = 90.00°
Element x y z (fractional)
Re 0.375 0.340 0.750
Re 0.090 0.625 0.250
Re 0.660 0.125 0.250
Re 0.875 0.910 0.750
Ir 0.000 0.000 0.000
Ir 0.750 0.250 0.500
Sb 0.500 0.500 0.000
Sb 0.250 0.750 0.500

N(E_F)   0.4045 states/eV/atom
V   195 Å³ per cell
Uncorrected formation energy   1.1444 eV/atom
Energy   -8.33 eV per atom
Symmetry   I-42d